1.
Below is a relaxed Ba3Al2As4 crystal, with properties calculated at the GGA-PBE level.

Results
M_tot, μB/cell: 0.00
Density, kg/m³: 4567
DFT formation energy, eV per atom: -0.9560
ΔE to the lowest computed polymorph, meV/atom: 3

CIF file:
```
data_Ba3Al2As4
_cell_length_a 13.993
_cell_length_b 10.858
_cell_length_c 7.359
_cell_angle_alpha 90.00
_cell_angle_beta 95.09
_cell_angle_gamma 90.00
_symmetry_space_group_name_H-M 'C 1 2/c 1'
_symmetry_Int_Tables_number 15
loop_
_symmetry_equiv_pos_as_xyz
'x,y,z'
'-x,-y,-z'
'-x,y,-z+1/2'
'x,-y,z+1/2'
'x+1/2,y+1/2,z'
'-x+1/2,-y+1/2,-z'
'-x+1/2,y+1/2,-z+1/2'
'x+1/2,-y+1/2,z+1/2'
loop_
_atom_site_label
_atom_site_type_symbol
_atom_site_fract_x
_atom_site_fract_y
_atom_site_fract_z
Ba1 Ba 0.000 0.100 0.250
Ba2 Ba 0.131 0.373 0.584
Al1 Al 0.205 0.123 0.934
As1 As 0.119 0.315 0.028
As2 As 0.167 0.073 0.600
```

2.
Below is a relaxed LiGaSe crystal, with properties calculated at the GGA-PBE level.

Results
M_tot, μB/cell: 0.00
Density, kg/m³: 4157
DOS at the Fermi energy, states/eV per cell: 0.23
ΔE to the lowest computed polymorph, meV/atom: 62
Raw formation energy, eV per atom: -0.711

CIF file:
```
data_LiGaSe
_cell_length_a 4.353
_cell_length_b 12.649
_cell_length_c 4.516
_cell_angle_alpha 90.00
_cell_angle_beta 90.00
_cell_angle_gamma 90.00
_symmetry_space_group_name_H-M 'C 2 2 21'
_symmetry_Int_Tables_number 20
loop_
_symmetry_equiv_pos_as_xyz
'x,y,z'
'-x,-y,z+1/2'
'x,-y,-z'
'-x,y,-z+1/2'
'x+1/2,y+1/2,z'
'-x+1/2,-y+1/2,z+1/2'
'x+1/2,-y+1/2,-z'
'-x+1/2,y+1/2,-z+1/2'
loop_
_atom_site_label
_atom_site_type_symbol
_atom_site_fract_x
_atom_site_fract_y
_atom_site_fract_z
Li1 Li 0.000 0.238 0.250
Ga1 Ga 0.127 0.500 0.000
Se1 Se 0.000 0.143 0.750
```

3.
Below is a relaxed Ni3SnAs crystal, with properties calculated at the GGA-PBE level.

Results
M_tot, μB/cell: 0.00
Density, kg/m³: 8370
DFT formation energy, eV per atom: -0.1299
DOS at the Fermi energy, states/eV per cell: 7.05
ΔE to the lowest computed polymorph, meV/atom: 0

CIF file:
```
data_Ni3SnAs
_cell_length_a 5.155
_cell_length_b 5.260
_cell_length_c 6.348
_cell_angle_alpha 90.11
_cell_angle_beta 101.27
_cell_angle_gamma 118.99
_symmetry_space_group_name_H-M 'P 1'
_symmetry_Int_Tables_number 1
loop_
_symmetry_equiv_pos_as_xyz
'x,y,z'
loop_
_atom_site_label
_atom_site_type_symbol
_atom_site_fract_x
_atom_site_fract_y
_atom_site_fract_z
Ni1 Ni 0.000 0.000 0.000
Ni2 Ni 0.002 0.506 0.995
Ni3 Ni 0.134 0.300 0.678
Ni4 Ni 0.375 0.717 0.422
Ni5 Ni 0.431 0.221 0.416
Ni6 Ni 0.498 0.003 0.082
Sn1 Sn 0.530 0.522 0.071
Sn2 Sn 0.922 0.713 0.617
As1 As 0.627 0.074 0.739
As2 As 0.973 0.240 0.309
```

4.
Below is a relaxed RbCrGe2Br8 crystal, with properties calculated at the GGA-PBE level.

Results
M_tot, μB/cell: 2.99
Density, kg/m³: 3851
Raw formation energy, eV per atom: -0.810

CIF file:
```
data_RbCrGe2Br8
_cell_length_a 7.090
_cell_length_b 7.110
_cell_length_c 9.052
_cell_angle_alpha 90.24
_cell_angle_beta 90.07
_cell_angle_gamma 119.39
_symmetry_space_group_name_H-M 'P -1'
_symmetry_Int_Tables_number 2
loop_
_symmetry_equiv_pos_as_xyz
'x,y,z'
'-x,-y,-z'
loop_
_atom_site_label
_atom_site_type_symbol
_atom_site_fract_x
_atom_site_fract_y
_atom_site_fract_z
Rb1 Rb 0.000 0.000 0.000
Cr1 Cr 0.000 0.000 0.500
Ge1 Ge 0.331 0.665 0.659
Br1 Br 0.055 0.741 0.338
Br2 Br 0.256 0.309 0.338
Br3 Br 0.312 0.053 0.663
Br4 Br 0.332 0.666 0.930
```

Please write out number 1 again, unchanged.
Below is a relaxed Ba3Al2As4 crystal, with properties calculated at the GGA-PBE level.

Results
M_tot, μB/cell: 0.00
Density, kg/m³: 4567
DFT formation energy, eV per atom: -0.9560
ΔE to the lowest computed polymorph, meV/atom: 3

CIF file:
```
data_Ba3Al2As4
_cell_length_a 13.993
_cell_length_b 10.858
_cell_length_c 7.359
_cell_angle_alpha 90.00
_cell_angle_beta 95.09
_cell_angle_gamma 90.00
_symmetry_space_group_name_H-M 'C 1 2/c 1'
_symmetry_Int_Tables_number 15
loop_
_symmetry_equiv_pos_as_xyz
'x,y,z'
'-x,-y,-z'
'-x,y,-z+1/2'
'x,-y,z+1/2'
'x+1/2,y+1/2,z'
'-x+1/2,-y+1/2,-z'
'-x+1/2,y+1/2,-z+1/2'
'x+1/2,-y+1/2,z+1/2'
loop_
_atom_site_label
_atom_site_type_symbol
_atom_site_fract_x
_atom_site_fract_y
_atom_site_fract_z
Ba1 Ba 0.000 0.100 0.250
Ba2 Ba 0.131 0.373 0.584
Al1 Al 0.205 0.123 0.934
As1 As 0.119 0.315 0.028
As2 As 0.167 0.073 0.600
```

What did the second record say?
Below is a relaxed LiGaSe crystal, with properties calculated at the GGA-PBE level.

Results
M_tot, μB/cell: 0.00
Density, kg/m³: 4157
DOS at the Fermi energy, states/eV per cell: 0.23
ΔE to the lowest computed polymorph, meV/atom: 62
Raw formation energy, eV per atom: -0.711

CIF file:
```
data_LiGaSe
_cell_length_a 4.353
_cell_length_b 12.649
_cell_length_c 4.516
_cell_angle_alpha 90.00
_cell_angle_beta 90.00
_cell_angle_gamma 90.00
_symmetry_space_group_name_H-M 'C 2 2 21'
_symmetry_Int_Tables_number 20
loop_
_symmetry_equiv_pos_as_xyz
'x,y,z'
'-x,-y,z+1/2'
'x,-y,-z'
'-x,y,-z+1/2'
'x+1/2,y+1/2,z'
'-x+1/2,-y+1/2,z+1/2'
'x+1/2,-y+1/2,-z'
'-x+1/2,y+1/2,-z+1/2'
loop_
_atom_site_label
_atom_site_type_symbol
_atom_site_fract_x
_atom_site_fract_y
_atom_site_fract_z
Li1 Li 0.000 0.238 0.250
Ga1 Ga 0.127 0.500 0.000
Se1 Se 0.000 0.143 0.750
```